DFT (PBE-GGA) results for a relaxed Rb3Tb3InTe8 crystal.

```
Rb3Tb3InTe8
1.0
7.665 -4.414 0.000
7.665 4.414 0.000
-5.118 0.000 8.857
Rb Tb In Te
3 3 1 8
Cartesian
0.000 0.000 0.000
3.832 2.207 0.000
3.832 -2.207 0.000
1.273 2.207 4.428
1.273 -2.207 4.428
5.106 0.000 4.428
-2.559 0.000 4.428
-0.024 0.000 6.173
3.834 2.221 6.174
2.553 0.000 2.646
6.377 2.221 2.683
3.834 -2.221 6.174
7.659 0.000 6.210
6.377 -2.221 2.683
10.236 0.000 2.684
```

magnetization	0.000	μB/f.u.
raw formation energy	-1.0978	eV per atom